# 1
Material: Tb2Y4Er3
Method: DFT, PBE
State: optimized geometry

Lattice parameters (Å, degrees): 9.893 9.893 6.775 92.29 92.29 60.54
Atoms (fractional coordinates):
Tb: 0.049 0.632 0.596
Tb: 0.368 0.951 0.904
Tb: 0.632 0.049 0.096
Tb: 0.951 0.368 0.404
Y: 0.060 0.315 0.917
Y: 0.307 0.654 0.990
Y: 0.315 0.060 0.417
Y: 0.346 0.693 0.510
Y: 0.654 0.307 0.490
Y: 0.685 0.940 0.583
Y: 0.693 0.346 0.010
Y: 0.940 0.685 0.083
Er: 0.014 0.986 0.250
Er: 0.303 0.386 0.258
Er: 0.386 0.303 0.758
Er: 0.614 0.697 0.242
Er: 0.697 0.614 0.742
Er: 0.986 0.014 0.750

- crystal system = monoclinic
- energy of formation (eV per atom) = 0.075
- excess energy over the best structure of this formula in the dataset (eV/atom) = 0.000
- volume (Å³/atom) = 32.04
- SG = No. 15

=====

# 2
Material: SmAlFe
Method: DFT, PBE
State: optimized geometry

Lattice parameters (Å, degrees): 8.818 5.407 5.407 60.79 90.00 90.00
Atoms (fractional coordinates):
Sm: 0.176 0.000 0.000
Sm: 0.304 0.666 0.666
Sm: 0.696 0.666 0.666
Sm: 0.824 0.000 0.000
Al: 0.234 0.327 0.327
Al: 0.500 0.167 0.670
Al: 0.500 0.670 0.167
Al: 0.766 0.327 0.327
Fe: 0.000 0.503 0.503
Fe: 0.000 0.508 0.976
Fe: 0.000 0.976 0.508
Fe: 0.500 0.167 0.167

- crystal system = orthorhombic
- energy of formation (eV per atom) = -0.221
- volume (Å³/atom) = 18.76
- SG = No. 38

=====

# 3
Material: Mg5H4Ir
Method: DFT, PBE
State: optimized geometry

Lattice parameters (Å, degrees): 4.948 4.948 5.632 92.56 92.56 107.10
Atoms (fractional coordinates):
Mg: 0.000 0.000 0.000
Mg: 0.088 0.496 0.695
Mg: 0.407 0.780 0.249
Mg: 0.496 0.088 0.695
Mg: 0.780 0.407 0.249
H: 0.103 0.451 0.036
H: 0.220 0.220 0.410
H: 0.451 0.103 0.036
H: 0.698 0.698 0.624
Ir: 0.946 0.946 0.492

- crystal system = monoclinic
- excess energy over the best structure of this formula in the dataset (eV/atom) = 0.017
- volume (Å³/atom) = 13.14
- SG = No. 8

=====

E in hartree per atom, matching the order above: -0.1965; -0.2155; -0.1183